A relaxed NaSi2BO7 crystal. Source: the Alexandria database, functional PBE.

```
22
Lattice="4.958 0.000 0.000 0.000 7.336 0.000 -0.584 0.000 8.242" Properties=species:S:1:pos:R:3 pbc="T T T"
Na -0.227 0.000 3.931
Na 4.601 3.668 4.311
Si 0.961 4.110 0.933
Si 1.512 7.196 0.812
Si 2.863 3.528 7.429
Si 3.413 0.442 7.309
B 1.661 1.985 2.843
B 2.713 5.653 5.398
O 0.008 0.247 7.763
O 1.186 5.679 1.299
O 1.222 0.820 2.084
O 1.244 3.269 2.290
O 1.229 1.896 4.232
O 1.320 5.645 4.984
O 1.310 3.637 7.918
O 3.065 7.305 0.323
O 3.054 1.977 3.258
O 3.145 5.564 4.010
O 3.131 6.937 5.952
O 3.152 4.488 6.158
O 3.188 2.011 6.943
O 4.366 3.915 0.479
```

## Properties
The total magnetization comes out at 2.01 μB/f.u. Its space-group type is P2_1, No. 4. The raw formation energy is -2.1477 eV/atom.

A relaxed DyHoInPb crystal. Source: the Alexandria database, functional PBE.

```
16
Lattice="7.609 0.000 0.000 0.000 7.609 0.000 0.000 0.000 7.609" Properties=species:S:1:pos:R:3 pbc="T T T"
Dy 0.000 0.000 0.000
Dy 0.000 3.804 3.804
Dy 3.804 0.000 3.804
Dy 3.804 3.804 0.000
Ho 0.000 0.000 3.804
Ho 0.000 3.804 0.000
Ho 3.804 0.000 0.000
Ho 3.804 3.804 3.804
In 1.902 1.902 1.902
In 1.902 5.707 5.707
In 5.707 1.902 5.707
In 5.707 5.707 1.902
Pb 1.902 1.902 5.707
Pb 1.902 5.707 1.902
Pb 5.707 1.902 1.902
Pb 5.707 5.707 5.707
```

## Properties
The total magnetization comes out at 0.00 μB/f.u. The energy above the most stable polymorph in this dataset is 43 meV/atom. Its space-group type is F-43m, No. 216. The formation energy is -0.394 eV per atom.

A relaxed PmNd2Os crystal. Source: the Alexandria database, functional PBE.

```
16
Lattice="7.488 0.000 0.000 0.000 9.623 0.000 0.000 0.000 6.523" Properties=species:S:1:pos:R:3 pbc="T T T"
Pm 0.321 2.406 0.917
Pm 3.423 7.217 4.178
Pm 4.065 2.406 2.345
Pm 7.168 7.217 5.606
Nd 1.311 0.633 4.370
Nd 1.311 4.178 4.370
Nd 2.434 5.445 1.109
Nd 2.434 8.990 1.109
Nd 5.055 0.633 5.414
Nd 5.055 4.178 5.414
Nd 6.178 5.445 2.153
Nd 6.178 8.990 2.153
Os 0.857 7.217 2.953
Os 2.887 2.406 6.214
Os 4.601 7.217 0.309
Os 6.631 2.406 3.570
```

## Properties
The total magnetization comes out at 0.00 μB/f.u. The energy above the most stable polymorph in this dataset is 0 meV/atom. Its space-group type is Pnma, No. 62. The formation energy is -0.111 eV per atom.

A relaxed SrNbAg2 crystal. Source: the Alexandria database, functional PBE.

```
16
Lattice="7.221 0.000 0.000 0.000 7.221 0.000 0.000 0.000 7.221" Properties=species:S:1:pos:R:3 pbc="T T T"
Sr 0.000 0.000 0.000
Sr 0.000 3.611 3.611
Sr 3.611 0.000 3.611
Sr 3.611 3.611 0.000
Nb 0.000 0.000 3.611
Nb 0.000 3.611 0.000
Nb 3.611 0.000 0.000
Nb 3.611 3.611 3.611
Ag 1.805 1.805 1.805
Ag 1.805 1.805 5.416
Ag 1.805 5.416 1.805
Ag 1.805 5.416 5.416
Ag 5.416 1.805 1.805
Ag 5.416 1.805 5.416
Ag 5.416 5.416 1.805
Ag 5.416 5.416 5.416
```

## Properties
The total magnetization comes out at 2.54 μB/f.u. The energy above the most stable polymorph in this dataset is 0 meV/atom. Its space-group type is Fm-3m, No. 225. The formation energy is 0.476 eV per atom.

A relaxed Fe3Ir4Rh4 crystal. Source: the Alexandria database, functional PBE.

```
11
Lattice="-1.349 3.486 8.353 1.349 -3.486 8.353 1.349 3.486 -8.353" Properties=species:S:1:pos:R:3 pbc="T T T"
Fe 0.000 0.000 0.000
Fe 1.349 0.000 6.496
Fe 0.000 3.486 1.856
Ir 1.349 1.322 -2.405
Ir 1.349 1.322 2.405
Ir 0.000 2.164 5.948
Ir 0.000 2.164 10.758
Rh 0.000 0.000 4.264
Rh 1.349 2.192 0.000
Rh 0.000 1.294 8.353
Rh 0.000 0.000 12.442
```

## Properties
The total magnetization comes out at 7.91 μB/f.u. Its space-group type is Immm, No. 71. The formation energy is 0.179 eV per atom.

A relaxed CsHg2Cl5 crystal. Source: the Alexandria database, functional PBE.

```
16
Lattice="2.237 -8.993 0.000 2.237 8.993 0.000 0.000 0.000 13.878" Properties=species:S:1:pos:R:3 pbc="T T T"
Cs 2.237 5.272 10.408
Cs 2.237 -5.272 3.469
Hg 2.237 7.305 0.962
Hg 2.237 7.305 5.977
Hg 2.237 -7.305 7.901
Hg 2.237 -7.305 12.916
Cl 2.237 8.198 8.539
Cl 2.237 8.198 12.278
Cl 2.237 6.306 3.469
Cl 2.237 3.033 7.426
Cl 2.237 3.033 13.391
Cl 2.237 -3.033 0.487
Cl 2.237 -3.033 6.452
Cl 2.237 -6.306 10.408
Cl 2.237 -8.198 1.600
Cl 2.237 -8.198 5.339
```

## Properties
The total magnetization comes out at 0.00 μB/f.u. Its space-group type is Cmcm, No. 63. The raw formation energy is -0.9143 eV/atom.